Entry 1:
MgZrCr2: optimized geometry, PBE-GGA.

Values from the calculation:
Energy of formation: 0.58 eV/atom
Space-group type: R-3m (166)

Unit cell a=9.2736 b=9.2736 c=9.2736 alpha=19.18 beta=19.18 gamma=19.18
Positions (direct):
Mg 0.0000 0.0000 0.0000
Zr 0.5000 0.5000 0.5000
Cr 0.2475 0.2475 0.2475
Cr 0.7525 0.7525 0.7525



Entry 2:
Li3GaTc: optimized geometry, PBE-GGA.

Values from the calculation:
Energy relative to the lowest polymorph listed for this composition: 0 meV per atom
Energy of formation: 0.98 eV/atom
Space-group type: Pm-3m (221)

Unit cell a=4.3594 b=4.3594 c=4.3594 alpha=90.00 beta=90.00 gamma=90.00
Positions (direct):
Li 0.0000 0.0000 0.5000
Li 0.0000 0.5000 0.0000
Li 0.5000 0.0000 0.0000
Ga 0.0000 0.0000 0.0000
Tc 0.5000 0.5000 0.5000



Entry 3:
Hf3BAs: optimized geometry, PBE-GGA.

Values from the calculation:
Energy relative to the lowest polymorph listed for this composition: 0 meV per atom
Energy of formation: -0.57 eV/atom
Space-group type: Pmma (51)

Unit cell a=5.2668 b=4.6164 c=7.2331 alpha=90.00 beta=90.00 gamma=90.00
Positions (direct):
Hf 0.0000 0.0000 0.0000
Hf 0.2500 0.0000 0.3783
Hf 0.2500 0.5000 0.7078
Hf 0.5000 0.0000 0.0000
Hf 0.7500 0.0000 0.6217
Hf 0.7500 0.5000 0.2922
B 0.2500 0.0000 0.7023
B 0.7500 0.0000 0.2977
As 0.2500 0.5000 0.1439
As 0.7500 0.5000 0.8561